(1)
A geometry-optimized La2TlCl structure, computed with PBE.

a = 5.502 Å, b = 5.502 Å, c = 5.502 Å
α = 60.00°, β = 60.00°, γ = 60.00°
Sites, in units of the cell vectors:
La: 0.000 0.000 0.000
La: 0.250 0.250 0.250
Tl: 0.750 0.750 0.750
Cl: 0.500 0.500 0.500

Output
Raw formation energy   -251 meV/atom
ΔE to the lowest computed polymorph   697 meV/atom
VASP energy   -3.77 eV per atom

---

(2)
A geometry-optimized InNi4C structure, computed with PBE.

a = 3.629 Å, b = 3.629 Å, c = 6.085 Å
α = 90.00°, β = 90.00°, γ = 90.00°
Sites, in units of the cell vectors:
In: 0.000 0.000 0.000
Ni: 0.000 0.500 0.500
Ni: 0.500 0.000 0.500
Ni: 0.500 0.500 0.193
Ni: 0.500 0.500 0.807
C: 0.500 0.500 0.500

Output
ΔH_f (0 K)   0.18 eV per atom
VASP energy   -5.67 eV per atom

---

(3)
A geometry-optimized Ac3Ir structure, computed with PBE.

a = 7.718 Å, b = 4.108 Å, c = 9.961 Å
α = 90.00°, β = 106.39°, γ = 90.00°
Sites, in units of the cell vectors:
Ac: 0.049 0.250 0.334
Ac: 0.288 0.750 0.028
Ac: 0.418 0.750 0.646
Ac: 0.582 0.250 0.354
Ac: 0.712 0.250 0.972
Ac: 0.951 0.750 0.666
Ir: 0.273 0.250 0.803
Ir: 0.727 0.750 0.197

Output
ΔH_f (0 K)   -0.40 eV per atom
ΔE to the lowest computed polymorph   0 meV/atom
VASP energy   -5.69 eV per atom

---

(4)
A geometry-optimized CaLa2GaCo structure, computed with PBE.

a = 5.392 Å, b = 5.392 Å, c = 4.853 Å
α = 90.00°, β = 90.00°, γ = 90.00°
Sites, in units of the cell vectors:
Ca: 0.000 0.000 0.000
La: 0.000 0.500 0.500
La: 0.500 0.000 0.500
Ga: 0.500 0.500 0.000
Co: 0.500 0.500 0.500

Output
ΔH_f (0 K)   -0.18 eV per atom
ΔE to the lowest computed polymorph   0 meV/atom
VASP energy   -4.58 eV per atom

---

(5)
A geometry-optimized Ho5Sb2Rh structure, computed with PBE.

a = 5.474 Å, b = 5.474 Å, c = 15.946 Å
α = 90.00°, β = 90.00°, γ = 116.13°
Sites, in units of the cell vectors:
Ho: 0.067 0.933 0.597
Ho: 0.067 0.933 0.903
Ho: 0.247 0.753 0.250
Ho: 0.405 0.595 0.634
Ho: 0.405 0.595 0.866
Ho: 0.595 0.405 0.134
Ho: 0.595 0.405 0.366
Ho: 0.753 0.247 0.750
Ho: 0.933 0.067 0.097
Ho: 0.933 0.067 0.403
Sb: 0.278 0.722 0.059
Sb: 0.278 0.722 0.441
Sb: 0.722 0.278 0.559
Sb: 0.722 0.278 0.941
Rh: 0.164 0.836 0.750
Rh: 0.836 0.164 0.250

Output
Raw formation energy   -535 meV/atom
VASP energy   -5.35 eV per atom

---

(6)
A geometry-optimized AlRu structure, computed with PBE.

a = 3.543 Å, b = 3.543 Å, c = 3.543 Å
α = 131.07°, β = 108.60°, γ = 91.37°
Sites, in units of the cell vectors:
Al: 0.000 0.000 0.000
Ru: 0.500 0.500 0.000

Output
ΔH_f (0 K)   -0.03 eV per atom
VASP energy   -6.54 eV per atom

---

(7)
A geometry-optimized Y2ErCd3 structure, computed with PBE.

a = 5.280 Å, b = 5.280 Å, c = 6.486 Å
α = 90.00°, β = 90.00°, γ = 120.00°
Sites, in units of the cell vectors:
Y: 0.333 0.667 0.170
Y: 0.667 0.333 0.830
Er: 0.000 0.000 0.500
Cd: 0.000 0.000 0.000
Cd: 0.333 0.667 0.667
Cd: 0.667 0.333 0.333

Output
ΔH_f (0 K)   -0.34 eV per atom
VASP energy   -3.72 eV per atom

---

(8)
A geometry-optimized LaPm2Pr4Sc structure, computed with PBE.

a = 5.138 Å, b = 5.156 Å, c = 10.342 Å
α = 90.00°, β = 90.06°, γ = 90.00°
Sites, in units of the cell vectors:
La: 0.000 0.000 0.000
Pm: 0.000 0.000 0.500
Pm: 0.500 0.500 0.500
Pr: 0.000 0.500 0.246
Pr: 0.000 0.500 0.754
Pr: 0.500 0.000 0.246
Pr: 0.500 0.000 0.754
Sc: 0.500 0.500 0.000

Output
ΔH_f (0 K)   0.03 eV per atom
VASP energy   -4.95 eV per atom

---

| no. | DOS(E_F) (states/eV per cell) |
| --- | --- |
| 1 | 2.97 |
| 2 | 4.52 |
| 3 | 7.26 |
| 4 | 4.29 |
| 5 | 9.38 |
| 6 | 2.01 |
| 7 | 5.67 |
| 8 | 11.91 |